Entry 1:
# GGA-PBE CaSiSe2, optimized geometry
data_CaSiSe2
_cell_length_a 4.0946
_cell_length_b 5.8191
_cell_length_c 7.7875
_cell_angle_alpha 90.00
_cell_angle_beta 90.00
_cell_angle_gamma 90.00
_space_group_name_H-M_alt 'P 1'
_space_group_IT_number 1
_space_group_name_Hall 'P 1'
loop_
_atom_site_label
_atom_site_type_symbol
_atom_site_fract_x
_atom_site_fract_y
_atom_site_fract_z
Ca1 Ca 0.0000 0.0000 0.0000
Ca2 Ca 0.5000 0.5000 0.5000
Si1 Si 0.0000 0.0000 0.5000
Si2 Si 0.5000 0.5000 0.0000
Se1 Se 0.0000 0.5000 0.2176
Se2 Se 0.0000 0.5000 0.7824
Se3 Se 0.5000 0.0000 0.2824
Se4 Se 0.5000 0.0000 0.7176
# total moment	0.00	Bohr magnetons per cell
# volume	186	Å³ per cell
# E_tot	-4.1941	eV/atom



Entry 2:
# GGA-PBE CaSiSe2, optimized geometry
data_CaSiSe2
_cell_length_a 4.0561
_cell_length_b 4.0561
_cell_length_c 20.1643
_cell_angle_alpha 90.00
_cell_angle_beta 90.00
_cell_angle_gamma 120.00
_space_group_name_H-M_alt 'P 1'
_space_group_IT_number 1
_space_group_name_Hall 'P 1'
loop_
_atom_site_label
_atom_site_type_symbol
_atom_site_fract_x
_atom_site_fract_y
_atom_site_fract_z
Ca1 Ca 0.0000 0.0000 0.0000
Ca2 Ca 0.3333 0.6667 0.6667
Ca3 Ca 0.6667 0.3333 0.3333
Si1 Si 0.0000 0.0000 0.5000
Si2 Si 0.3333 0.6667 0.1667
Si3 Si 0.6667 0.3333 0.8333
Se1 Se 0.0000 0.0000 0.2438
Se2 Se 0.0000 0.0000 0.7562
Se3 Se 0.3333 0.6667 0.4229
Se4 Se 0.3333 0.6667 0.9104
Se5 Se 0.6667 0.3333 0.0896
Se6 Se 0.6667 0.3333 0.5771
# total moment	0.00	Bohr magnetons per cell
# volume	287	Å³ per cell
# E_tot	-4.4692	eV/atom



Entry 3:
# GGA-PBE CaSiSe2, optimized geometry
data_CaSiSe2
_cell_length_a 4.3821
_cell_length_b 4.3821
_cell_length_c 23.4059
_cell_angle_alpha 90.00
_cell_angle_beta 90.00
_cell_angle_gamma 120.00
_space_group_name_H-M_alt 'P 1'
_space_group_IT_number 1
_space_group_name_Hall 'P 1'
loop_
_atom_site_label
_atom_site_type_symbol
_atom_site_fract_x
_atom_site_fract_y
_atom_site_fract_z
Ca1 Ca 0.0000 0.0000 0.0000
Ca2 Ca 0.3333 0.6667 0.6667
Ca3 Ca 0.6667 0.3333 0.3333
Si1 Si 0.0000 0.0000 0.5000
Si2 Si 0.3333 0.6667 0.1667
Si3 Si 0.6667 0.3333 0.8333
Se1 Se 0.0000 0.0000 0.3981
Se2 Se 0.0000 0.0000 0.6019
Se3 Se 0.3333 0.6667 0.0648
Se4 Se 0.3333 0.6667 0.2686
Se5 Se 0.6667 0.3333 0.7314
Se6 Se 0.6667 0.3333 0.9352
# total moment	0.00	Bohr magnetons per cell
# volume	389	Å³ per cell
# E_tot	-4.0705	eV/atom



Entry 4:
# GGA-PBE CaSiSe2, optimized geometry
data_CaSiSe2
_cell_length_a 11.2809
_cell_length_b 3.9124
_cell_length_c 4.2268
_cell_angle_alpha 90.00
_cell_angle_beta 91.60
_cell_angle_gamma 90.00
_space_group_name_H-M_alt 'P 1'
_space_group_IT_number 1
_space_group_name_Hall 'P 1'
loop_
_atom_site_label
_atom_site_type_symbol
_atom_site_fract_x
_atom_site_fract_y
_atom_site_fract_z
Ca1 Ca 0.0000 0.0000 0.0000
Ca2 Ca 0.5000 0.5000 0.0000
Si1 Si 0.2262 0.0000 0.5226
Si2 Si 0.7262 0.5000 0.5226
Se1 Se 0.2179 0.5000 0.9179
Se2 Se 0.4351 0.0000 0.4899
Se3 Se 0.7179 0.0000 0.9179
Se4 Se 0.9351 0.5000 0.4899
# total moment	0.00	Bohr magnetons per cell
# volume	186	Å³ per cell
# E_tot	-4.5736	eV/atom



Entry 5:
# GGA-PBE Ca2Si2Se, optimized geometry
data_Ca2Si2Se
_cell_length_a 7.9309
_cell_length_b 7.9309
_cell_length_c 4.3266
_cell_angle_alpha 90.00
_cell_angle_beta 90.00
_cell_angle_gamma 90.00
_space_group_name_H-M_alt 'P 1'
_space_group_IT_number 1
_space_group_name_Hall 'P 1'
loop_
_atom_site_label
_atom_site_type_symbol
_atom_site_fract_x
_atom_site_fract_y
_atom_site_fract_z
Ca1 Ca 0.1952 0.3048 0.0000
Ca2 Ca 0.3048 0.8048 0.0000
Ca3 Ca 0.6952 0.1952 0.0000
Ca4 Ca 0.8048 0.6952 0.0000
Si1 Si 0.0965 0.5965 0.5000
Si2 Si 0.4035 0.0965 0.5000
Si3 Si 0.5965 0.9035 0.5000
Si4 Si 0.9035 0.4035 0.5000
Se1 Se 0.0000 0.0000 0.0000
Se2 Se 0.5000 0.5000 0.0000
# total moment	0.00	Bohr magnetons per cell
# volume	272	Å³ per cell
# E_tot	-4.2222	eV/atom



Entry 6:
# GGA-PBE CaSiSe2, optimized geometry
data_CaSiSe2
_cell_length_a 3.7621
_cell_length_b 3.7621
_cell_length_c 25.5060
_cell_angle_alpha 90.00
_cell_angle_beta 90.00
_cell_angle_gamma 120.00
_space_group_name_H-M_alt 'P 1'
_space_group_IT_number 1
_space_group_name_Hall 'P 1'
loop_
_atom_site_label
_atom_site_type_symbol
_atom_site_fract_x
_atom_site_fract_y
_atom_site_fract_z
Ca1 Ca 0.0000 0.0000 0.0000
Ca2 Ca 0.3333 0.6667 0.6667
Ca3 Ca 0.6667 0.3333 0.3333
Si1 Si 0.0000 0.0000 0.5000
Si2 Si 0.3333 0.6667 0.1667
Si3 Si 0.6667 0.3333 0.8333
Se1 Se 0.0000 0.0000 0.1111
Se2 Se 0.0000 0.0000 0.8889
Se3 Se 0.3333 0.6667 0.5556
Se4 Se 0.3333 0.6667 0.7778
Se5 Se 0.6667 0.3333 0.2222
Se6 Se 0.6667 0.3333 0.4444
# total moment	0.00	Bohr magnetons per cell
# volume	313	Å³ per cell
# E_tot	-3.9634	eV/atom



Entry 7:
# GGA-PBE CaSiSe2, optimized geometry
data_CaSiSe2
_cell_length_a 3.9577
_cell_length_b 3.9577
_cell_length_c 22.4175
_cell_angle_alpha 90.00
_cell_angle_beta 90.00
_cell_angle_gamma 120.00
_space_group_name_H-M_alt 'P 1'
_space_group_IT_number 1
_space_group_name_Hall 'P 1'
loop_
_atom_site_label
_atom_site_type_symbol
_atom_site_fract_x
_atom_site_fract_y
_atom_site_fract_z
Ca1 Ca 0.0000 0.0000 0.0000
Ca2 Ca 0.3333 0.6667 0.6667
Ca3 Ca 0.6667 0.3333 0.3333
Si1 Si 0.0000 0.0000 0.2245
Si2 Si 0.3333 0.6667 0.8912
Si3 Si 0.6667 0.3333 0.5579
Se1 Se 0.0000 0.0000 0.5028
Se2 Se 0.0000 0.0000 0.7349
Se3 Se 0.3333 0.6667 0.1694
Se4 Se 0.3333 0.6667 0.4016
Se5 Se 0.6667 0.3333 0.0682
Se6 Se 0.6667 0.3333 0.8361
# total moment	0.00	Bohr magnetons per cell
# volume	304	Å³ per cell
# E_tot	-4.1041	eV/atom



Entry 8:
# GGA-PBE CaSiSe2, optimized geometry
data_CaSiSe2
_cell_length_a 6.9431
_cell_length_b 6.9664
_cell_length_c 3.5931
_cell_angle_alpha 90.00
_cell_angle_beta 90.57
_cell_angle_gamma 90.00
_space_group_name_H-M_alt 'P 1'
_space_group_IT_number 1
_space_group_name_Hall 'P 1'
loop_
_atom_site_label
_atom_site_type_symbol
_atom_site_fract_x
_atom_site_fract_y
_atom_site_fract_z
Ca1 Ca 0.0000 0.0000 0.0000
Ca2 Ca 0.5000 0.5000 0.0000
Si1 Si 0.0000 0.5000 0.0000
Si2 Si 0.5000 0.0000 0.0000
Se1 Se 0.2500 0.2500 0.5000
Se2 Se 0.2500 0.7500 0.5000
Se3 Se 0.7500 0.2500 0.5000
Se4 Se 0.7500 0.7500 0.5000
# total moment	0.00	Bohr magnetons per cell
# volume	174	Å³ per cell
# E_tot	-4.1991	eV/atom



Entry 9:
# GGA-PBE CaSiTeSe, optimized geometry
data_CaSiTeSe
_cell_length_a 7.7497
_cell_length_b 4.2365
_cell_length_c 6.8283
_cell_angle_alpha 90.00
_cell_angle_beta 91.89
_cell_angle_gamma 90.00
_space_group_name_H-M_alt 'P 1'
_space_group_IT_number 1
_space_group_name_Hall 'P 1'
loop_
_atom_site_label
_atom_site_type_symbol
_atom_site_fract_x
_atom_site_fract_y
_atom_site_fract_z
Ca1 Ca 0.0000 0.0000 0.0000
Ca2 Ca 0.5000 0.5000 0.0000
Si1 Si 0.4144 0.5000 0.4572
Si2 Si 0.9144 0.0000 0.4572
Te1 Te 0.3092 0.0000 0.6897
Te2 Te 0.8092 0.5000 0.6897
Se1 Se 0.1717 0.5000 0.2153
Se2 Se 0.6717 0.0000 0.2153
# total moment	0.00	Bohr magnetons per cell
# volume	224	Å³ per cell
# E_tot	-4.2404	eV/atom



Entry 10:
# GGA-PBE CaSiTeSe, optimized geometry
data_CaSiTeSe
_cell_length_a 4.2478
_cell_length_b 4.1619
_cell_length_c 6.2887
_cell_angle_alpha 90.00
_cell_angle_beta 91.49
_cell_angle_gamma 90.00
_space_group_name_H-M_alt 'P 1'
_space_group_IT_number 1
_space_group_name_Hall 'P 1'
loop_
_atom_site_label
_atom_site_type_symbol
_atom_site_fract_x
_atom_site_fract_y
_atom_site_fract_z
Ca1 Ca 0.0000 0.0000 0.0000
Si1 Si 0.5393 0.5000 0.4326
Te1 Te 0.9705 0.0000 0.4922
Se1 Se 0.5050 0.5000 0.0370
# total moment	0.00	Bohr magnetons per cell
# volume	111	Å³ per cell
# E_tot	-4.3674	eV/atom



Entry 11:
# GGA-PBE CaSiTeSe, optimized geometry
data_CaSiTeSe
_cell_length_a 4.2169
_cell_length_b 4.1740
_cell_length_c 6.1219
_cell_angle_alpha 90.00
_cell_angle_beta 108.30
_cell_angle_gamma 90.00
_space_group_name_H-M_alt 'P 1'
_space_group_IT_number 1
_space_group_name_Hall 'P 1'
loop_
_atom_site_label
_atom_site_type_symbol
_atom_site_fract_x
_atom_site_fract_y
_atom_site_fract_z
Ca1 Ca 0.0000 0.0000 0.0000
Si1 Si 0.3131 0.5000 0.4702
Te1 Te 0.7196 0.0000 0.4382
Se1 Se 0.4477 0.5000 0.8798
# total moment	0.00	Bohr magnetons per cell
# volume	102	Å³ per cell
# E_tot	-4.3736	eV/atom



Entry 12:
# GGA-PBE CaTl2SiSe4, optimized geometry
data_CaTl2SiSe4
_cell_length_a 8.4322
_cell_length_b 8.4322
_cell_length_c 8.4322
_cell_angle_alpha 122.54
_cell_angle_beta 117.19
_cell_angle_gamma 90.30
_space_group_name_H-M_alt 'P 1'
_space_group_IT_number 1
_space_group_name_Hall 'P 1'
loop_
_atom_site_label
_atom_site_type_symbol
_atom_site_fract_x
_atom_site_fract_y
_atom_site_fract_z
Ca1 Ca 0.0000 0.0000 0.0000
Ca2 Ca 0.5000 0.0000 0.5000
Tl1 Tl 0.0000 0.5000 0.5000
Tl2 Tl 0.5000 0.0000 0.0000
Tl3 Tl 0.5000 0.5000 0.0000
Tl4 Tl 0.5000 0.5000 0.5000
Si1 Si 0.0000 0.0000 0.5000
Si2 Si 0.0000 0.5000 0.0000
Se1 Se 0.1908 0.2446 0.9462
Se2 Se 0.2016 0.7554 0.4462
Se3 Se 0.2141 0.1996 0.4855
Se4 Se 0.2141 0.7286 0.0145
Se5 Se 0.7859 0.2714 0.9855
Se6 Se 0.7859 0.8004 0.5145
Se7 Se 0.7984 0.2446 0.5538
Se8 Se 0.8092 0.7554 0.0538
# total moment	0.00	Bohr magnetons per cell
# volume	424	Å³ per cell
# E_tot	-3.8685	eV/atom